Entry 1:
TlFe2Co | PBE | optimized geometry

a = 8.3588 Å, b = 8.3588 Å, c = 8.3588 Å
α = 20.14°, β = 20.14°, γ = 20.14°
With the nearest neighbours (Å) after each atom.
Fractional coordinates of all 4 atoms:
Tl  0.4983  0.4983  0.4983  3 Co 2.82, 3 Fe 2.89, 6 Tl 2.92
Co  0.7397  0.7397  0.7397  3 Fe 2.43
Fe  0.2603  0.2603  0.2603  3 Fe 2.49
Fe  0.0017  0.0017  0.0017  3 Co 2.43, 3 Fe 2.49

calculated total energy	-6.03	eV/atom
SG	No. 160
energy relative to the elements	0.57	eV/atom

Entry 2:
ScGeTe3 | PBE | optimized geometry

a = 4.2223 Å, b = 7.1346 Å, c = 10.0044 Å
α = 97.50°, β = 90.00°, γ = 90.00°
With the nearest neighbours (Å) after each atom.
Fractional coordinates of all 10 atoms:
Te  0.2500  0.9817  0.6894  3 Ge 2.85-2.94, 1 Sc 3.04
Te  0.2500  0.7526  0.9832  3 Sc 2.85-2.89
Te  0.7500  0.0183  0.3106  3 Ge 2.85-2.94, 1 Sc 3.04
Te  0.2500  0.5546  0.3415  3 Ge 2.89-3.19, 2 Sc 2.96
Te  0.7500  0.2474  0.0168  3 Sc 2.85-2.89
Te  0.7500  0.4454  0.6585  3 Ge 2.89-3.19, 2 Sc 2.96
Ge  0.7500  0.7901  0.5353  6 Te 2.85-3.19
Ge  0.2500  0.2099  0.4647  6 Te 2.85-3.19
Sc  0.7500  0.6274  0.1473  6 Te 2.85-3.04
Sc  0.2500  0.3726  0.8527  6 Te 2.85-3.04

calculated total energy	-4.64	eV/atom
SG	No. 11
energy above the lowest structure with this stoichiometry	0.136	eV/f.u.
formation energy (no corrections)	-566	meV/atom

Entry 3:
CeTm2PuS4 | PBE | optimized geometry

a = 3.8838 Å, b = 6.7386 Å, c = 6.8779 Å
α = 108.99°, β = 90.00°, γ = 90.00°
With the nearest neighbours (Å) after each atom.
Fractional coordinates of all 8 atoms:
S  0.0000  0.2482  0.7372  3 Tm 2.71-2.73, 2 Pu 2.81, 1 Ce 2.83
S  0.5000  0.7423  0.7346  3 Tm 2.71-2.73, 1 Pu 2.82, 2 Ce 2.84
S  0.5000  0.2577  0.2654  3 Tm 2.71-2.73, 1 Pu 2.82, 2 Ce 2.84
S  0.0000  0.7518  0.2628  3 Tm 2.71-2.73, 2 Pu 2.81, 1 Ce 2.83
Tm  0.0000  0.5000  0.5000  6 S 2.71
Tm  0.5000  0.0000  0.5000  6 S 2.73
Pu  0.5000  0.5000  0.0000  6 S 2.81-2.82
Ce  0.0000  0.0000  0.0000  6 S 2.83-2.84

calculated total energy	-7.66	eV/atom
SG	No. 10
formation energy (no corrections)	-1946	meV/atom

Entry 4:
ScInCo3 | PBE | optimized geometry

a = 4.6423 Å, b = 4.6423 Å, c = 4.6423 Å
α = 90.00°, β = 90.00°, γ = 90.00°
With the nearest neighbours (Å) after each atom.
Fractional coordinates of all 5 atoms:
Sc  0.5000  0.5000  0.5000  12 Co 3.28
In  0.0000  0.0000  0.0000  6 Co 2.32
Co  0.5000  0.0000  0.0000  2 In 2.32
Co  0.0000  0.5000  0.0000  2 In 2.32
Co  0.0000  0.0000  0.5000  2 In 2.32

calculated total energy	-4.98	eV/atom
SG	No. 221
energy above the lowest structure with this stoichiometry	0.175	eV/f.u.
energy relative to the elements	1.10	eV/atom

Entry 5:
Ac6CdGe3 | PBE | optimized geometry

a = 7.9021 Å, b = 8.6975 Å, c = 10.7909 Å
α = 90.00°, β = 94.01°, γ = 90.00°
With the nearest neighbours (Å) after each atom.
Fractional coordinates of all 20 atoms:
Ac  0.7950  0.9151  0.2552  3 Ge 3.09-3.28, 1 Cd 3.37
Ac  0.7050  0.4151  0.2448  3 Ge 3.09-3.28, 1 Cd 3.37
Ac  0.2050  0.0849  0.7448  3 Ge 3.09-3.28, 1 Cd 3.37
Ac  0.3518  0.8150  0.0736  2 Ge 3.10-3.41, 1 Cd 3.26
Ac  0.2950  0.5849  0.7552  3 Ge 3.09-3.28, 1 Cd 3.37
Ac  0.8518  0.6850  0.5736  2 Ge 3.10-3.41, 1 Cd 3.26
Ac  0.1767  0.3353  0.0737  3 Ge 3.08-3.40, 1 Cd 3.31
Ac  0.6767  0.1647  0.5737  3 Ge 3.08-3.40, 1 Cd 3.31
Ac  0.6482  0.1850  0.9264  2 Ge 3.10-3.41, 1 Cd 3.26
Ac  0.8233  0.6647  0.9263  3 Ge 3.08-3.40, 1 Cd 3.31
Ac  0.3233  0.8353  0.4263  3 Ge 3.08-3.40, 1 Cd 3.31
Ac  0.1482  0.3150  0.4264  2 Ge 3.10-3.41, 1 Cd 3.26
Ge  0.4488  0.1223  0.2611  6 Ac 3.26-3.50
Ge  0.0512  0.6223  0.2389  6 Ac 3.26-3.50
Ge  0.9488  0.3777  0.7611  6 Ac 3.26-3.50
Ge  0.5512  0.8777  0.7389  6 Ac 3.26-3.50
Ge  0.5000  0.5000  0.0000  6 Ac 3.08-3.10
Ge  0.0000  0.0000  0.5000  6 Ac 3.08-3.10
Cd  0.0000  0.0000  0.0000  6 Ac 3.26-3.37
Cd  0.5000  0.5000  0.5000  6 Ac 3.26-3.37

calculated total energy	-4.33	eV/atom
SG	No. 14
energy relative to the elements	-0.39	eV/atom

Entry 6:
TlSb2Pb | PBE | optimized geometry

a = 6.1121 Å, b = 6.1121 Å, c = 5.7202 Å
α = 73.17°, β = 73.17°, γ = 38.89°
With the nearest neighbours (Å) after each atom.
Fractional coordinates of all 4 atoms:
Sb  0.0038  0.0038  0.9391  2 Sb 2.99
Sb  0.4962  0.4962  0.5609  2 Sb 2.99
Tl  0.2500  0.2500  0.2500  4 Pb 3.51, 6 Sb 3.56-3.78
Pb  0.7500  0.7500  0.7500  6 Sb 3.39-3.42, 4 Tl 3.51

calculated total energy	-3.52	eV/atom
SG	No. 12
formation energy (no corrections)	56	meV/atom

Entry 7:
CsWSe4 | PBE | optimized geometry

a = 6.0852 Å, b = 7.9509 Å, c = 9.1792 Å
α = 115.66°, β = 98.34°, γ = 90.00°
With the nearest neighbours (Å) after each atom.
Fractional coordinates of all 12 atoms:
W  0.2585  0.5069  0.0138  7 Se 2.51-2.78
W  0.7415  0.4931  0.9862  7 Se 2.51-2.78
Se  0.4533  0.6073  0.8261  2 W 2.54-2.61, 1 Se 2.84
Se  0.0000  0.2523  0.0000  2 W 2.51
Se  0.4533  0.2188  0.8261  2 W 2.54-2.61, 1 Se 2.84
Se  0.7441  0.3250  0.6499  1 W 2.78, 2 Se 2.91
Se  0.5467  0.7812  0.1739  2 W 2.54-2.61, 1 Se 2.84
Se  0.0000  0.7477  0.0000  2 W 2.51
Se  0.5467  0.3927  0.1739  2 W 2.54-2.61, 1 Se 2.84
Se  0.2559  0.6750  0.3501  1 W 2.78, 2 Se 2.91
Cs  0.1829  0.1955  0.3909  10 Se 3.68-4.02
Cs  0.8171  0.8045  0.6091  10 Se 3.68-4.02

calculated total energy	-5.03	eV/atom
SG	No. 12
energy above the lowest structure with this stoichiometry	0.467	eV/f.u.
formation energy (no corrections)	-407	meV/atom

Entry 8:
Sr7Au6 | PBE | optimized geometry

a = 11.5125 Å, b = 11.5125 Å, c = 11.5125 Å
α = 38.06°, β = 38.06°, γ = 38.06°
With the nearest neighbours (Å) after each atom.
Fractional coordinates of all 13 atoms:
Sr  0.4262  0.4262  0.9408  3 Au 3.09-3.20
Sr  0.4262  0.9408  0.4262  3 Au 3.09-3.20
Sr  0.5000  0.5000  0.5000  6 Sr 3.84
Sr  0.9408  0.4262  0.4262  3 Au 3.09-3.20
Sr  0.5738  0.5738  0.0592  3 Au 3.09-3.20
Sr  0.5738  0.0592  0.5738  3 Au 3.09-3.20
Sr  0.0592  0.5738  0.5738  3 Au 3.09-3.20
Au  0.0980  0.0980  0.0980  1 Au 2.91
Au  0.1891  0.1891  0.1891  1 Au 2.91, 3 Sr 3.20
Au  0.9020  0.9020  0.9020  1 Au 2.91
Au  0.6650  0.6650  0.6650  6 Sr 3.09-3.10
Au  0.3350  0.3350  0.3350  6 Sr 3.09-3.10
Au  0.8109  0.8109  0.8109  1 Au 2.91, 3 Sr 3.20

calculated total energy	-2.59	eV/atom
SG	No. 166
energy relative to the elements	-0.17	eV/atom